No. 1
# NbBiS3

A PBEsol-optimized structure of NbBiS3 (SCAN, Alexandria via LeMat-Bulk).

raw total energy: -28.39 eV per atom
total magnetic moment: 0.0 μB per cell

Structure (CIF):
```
data_NbBiS3
_chemical_formula_sum 'Nb1 Bi1 S3'
_cell_length_a 4.7706
_cell_length_b 4.7706
_cell_length_c 4.7706
_cell_angle_alpha 90.00
_cell_angle_beta 90.00
_cell_angle_gamma 90.00
_symmetry_space_group_name_H-M 'P m -3 m'
_symmetry_Int_Tables_number 221
_symmetry_space_group_name_Hall '-P 4 2 3'
loop_
_atom_site_label
_atom_site_type_symbol
_atom_site_fract_x
_atom_site_fract_y
_atom_site_fract_z
_atom_site_occupancy
Nb1 Nb 0.0000 0.0000 0.0000 1
Bi1 Bi 0.5000 0.5000 0.5000 1
S1 S 0.0000 0.0000 0.5000 1
```



No. 2
# Nb2BiTeS

A PBEsol-optimized structure of Nb2BiTeS (SCAN, Alexandria via LeMat-Bulk).

raw total energy: -37.77 eV per atom
total magnetic moment: 0.0 μB per cell

Structure (CIF):
```
data_Nb2BiTeS
_chemical_formula_sum 'Nb2 Bi1 Te1 S1'
_cell_length_a 4.6506
_cell_length_b 4.6506
_cell_length_c 5.3791
_cell_angle_alpha 90.00
_cell_angle_beta 90.00
_cell_angle_gamma 90.00
_symmetry_space_group_name_H-M 'P 4/m m m'
_symmetry_Int_Tables_number 123
_symmetry_space_group_name_Hall '-P 4 2'
loop_
_atom_site_label
_atom_site_type_symbol
_atom_site_fract_x
_atom_site_fract_y
_atom_site_fract_z
_atom_site_occupancy
Nb1 Nb 0.0000 0.5000 0.0000 1
Bi1 Bi 0.0000 0.0000 0.5000 1
Te1 Te 0.5000 0.5000 0.5000 1
S1 S 0.0000 0.0000 0.0000 1
```



No. 3
# NbBi3Sb

A PBEsol-optimized structure of NbBi3Sb (SCAN, Alexandria via LeMat-Bulk).

raw total energy: -59.86 eV per atom
total magnetic moment: 3.5 μB per cell

Structure (CIF):
```
data_NbBi3Sb
_chemical_formula_sum 'Nb1 Bi3 Sb1'
_cell_length_a 5.6550
_cell_length_b 5.6550
_cell_length_c 5.6550
_cell_angle_alpha 90.00
_cell_angle_beta 90.00
_cell_angle_gamma 90.00
_symmetry_space_group_name_H-M 'P m -3 m'
_symmetry_Int_Tables_number 221
_symmetry_space_group_name_Hall '-P 4 2 3'
loop_
_atom_site_label
_atom_site_type_symbol
_atom_site_fract_x
_atom_site_fract_y
_atom_site_fract_z
_atom_site_occupancy
Nb1 Nb 0.0000 0.0000 0.0000 1
Bi1 Bi 0.0000 0.5000 0.5000 1
Sb1 Sb 0.5000 0.5000 0.5000 1
```



No. 4
# Nb3BiSe

A PBEsol-optimized structure of Nb3BiSe (SCAN, Alexandria via LeMat-Bulk).

raw total energy: -39.06 eV per atom
total magnetic moment: 0.0 μB per cell

Structure (CIF):
```
data_Nb3BiSe
_chemical_formula_sum 'Nb3 Bi1 Se1'
_cell_length_a 4.7548
_cell_length_b 4.7548
_cell_length_c 4.7548
_cell_angle_alpha 90.00
_cell_angle_beta 90.00
_cell_angle_gamma 90.00
_symmetry_space_group_name_H-M 'P m -3 m'
_symmetry_Int_Tables_number 221
_symmetry_space_group_name_Hall '-P 4 2 3'
loop_
_atom_site_label
_atom_site_type_symbol
_atom_site_fract_x
_atom_site_fract_y
_atom_site_fract_z
_atom_site_occupancy
Nb1 Nb 0.0000 0.0000 0.5000 1
Bi1 Bi 0.5000 0.5000 0.5000 1
Se1 Se 0.0000 0.0000 0.0000 1
```



No. 5
# Nb2SiBi

A PBEsol-optimized structure of Nb2SiBi (SCAN, Alexandria via LeMat-Bulk).

raw total energy: -38.52 eV per atom
total magnetic moment: 0.0 μB per cell

Structure (CIF):
```
data_Nb2SiBi
_chemical_formula_sum 'Nb8 Si4 Bi4'
_cell_length_a 6.6260
_cell_length_b 6.6260
_cell_length_c 6.6260
_cell_angle_alpha 90.00
_cell_angle_beta 90.00
_cell_angle_gamma 90.00
_symmetry_space_group_name_H-M 'F m -3 m'
_symmetry_Int_Tables_number 225
_symmetry_space_group_name_Hall '-F 4 2 3'
loop_
_atom_site_label
_atom_site_type_symbol
_atom_site_fract_x
_atom_site_fract_y
_atom_site_fract_z
_atom_site_occupancy
Nb1 Nb 0.2500 0.2500 0.2500 1
Si1 Si 0.0000 0.0000 0.0000 1
Bi1 Bi 0.0000 0.0000 0.5000 1
```



No. 6
# NbSiBi2

A PBEsol-optimized structure of NbSiBi2 (SCAN, Alexandria via LeMat-Bulk).

raw total energy: -49.23 eV per atom
total magnetic moment: 7.8 μB per cell

Structure (CIF):
```
data_NbSiBi2
_chemical_formula_sum 'Nb4 Si4 Bi8'
_cell_length_a 6.4326
_cell_length_b 6.4326
_cell_length_c 12.6286
_cell_angle_alpha 90.00
_cell_angle_beta 90.00
_cell_angle_gamma 90.00
_symmetry_space_group_name_H-M 'I -4 2 d'
_symmetry_Int_Tables_number 122
_symmetry_space_group_name_Hall 'I -4 2bw'
loop_
_atom_site_label
_atom_site_type_symbol
_atom_site_fract_x
_atom_site_fract_y
_atom_site_fract_z
_atom_site_occupancy
Nb1 Nb 0.0000 0.0000 0.0000 1
Si1 Si 0.0000 0.0000 0.5000 1
Bi1 Bi 0.2453 0.2500 0.6250 1
```



No. 7
# Zr2NbSiBi

A PBEsol-optimized structure of Zr2NbSiBi (SCAN, Alexandria via LeMat-Bulk).

raw total energy: -35.12 eV per atom
total magnetic moment: 1.1 μB per cell

Structure (CIF):
```
data_Zr2NbSiBi
_chemical_formula_sum 'Zr2 Nb1 Si1 Bi1'
_cell_length_a 5.2884
_cell_length_b 5.2884
_cell_length_c 5.0768
_cell_angle_alpha 90.00
_cell_angle_beta 90.00
_cell_angle_gamma 90.00
_symmetry_space_group_name_H-M 'P 4/m m m'
_symmetry_Int_Tables_number 123
_symmetry_space_group_name_Hall '-P 4 2'
loop_
_atom_site_label
_atom_site_type_symbol
_atom_site_fract_x
_atom_site_fract_y
_atom_site_fract_z
_atom_site_occupancy
Zr1 Zr 0.0000 0.5000 0.0000 1
Nb1 Nb 0.0000 0.0000 0.5000 1
Si1 Si 0.5000 0.5000 0.5000 1
Bi1 Bi 0.0000 0.0000 0.0000 1
```



No. 8
# NbSnBiW2

A PBEsol-optimized structure of NbSnBiW2 (SCAN, Alexandria via LeMat-Bulk).

E_form: 2687 meV/atom
total magnetic moment: 0.1 μB per cell

Structure (CIF):
```
data_NbSnBiW2
_chemical_formula_sum 'Nb1 Sn1 Bi1 W2'
_cell_length_a 4.8878
_cell_length_b 4.8878
_cell_length_c 5.3679
_cell_angle_alpha 90.00
_cell_angle_beta 90.00
_cell_angle_gamma 90.00
_symmetry_space_group_name_H-M 'P 4/m m m'
_symmetry_Int_Tables_number 123
_symmetry_space_group_name_Hall '-P 4 2'
loop_
_atom_site_label
_atom_site_type_symbol
_atom_site_fract_x
_atom_site_fract_y
_atom_site_fract_z
_atom_site_occupancy
Nb1 Nb 0.0000 0.0000 0.0000 1
Sn1 Sn 0.5000 0.5000 0.5000 1
Bi1 Bi 0.5000 0.5000 0.0000 1
W1 W 0.0000 0.5000 0.5000 1
```



No. 9
# SrNb2BiTe

A PBEsol-optimized structure of SrNb2BiTe (SCAN, Alexandria via LeMat-Bulk).

raw total energy: -40.02 eV per atom
total magnetic moment: 0.8 μB per cell

Structure (CIF):
```
data_SrNb2BiTe
_chemical_formula_sum 'Sr1 Nb2 Bi1 Te1'
_cell_length_a 5.0933
_cell_length_b 5.0933
_cell_length_c 5.9809
_cell_angle_alpha 90.00
_cell_angle_beta 90.00
_cell_angle_gamma 90.00
_symmetry_space_group_name_H-M 'P 4/m m m'
_symmetry_Int_Tables_number 123
_symmetry_space_group_name_Hall '-P 4 2'
loop_
_atom_site_label
_atom_site_type_symbol
_atom_site_fract_x
_atom_site_fract_y
_atom_site_fract_z
_atom_site_occupancy
Sr1 Sr 0.0000 0.0000 0.0000 1
Nb1 Nb 0.0000 0.5000 0.5000 1
Bi1 Bi 0.5000 0.5000 0.0000 1
Te1 Te 0.5000 0.5000 0.5000 1
```



No. 10
# TaNbBi2

A PBEsol-optimized structure of TaNbBi2 (SCAN, Alexandria via LeMat-Bulk).

E_form: 435 meV/atom
total magnetic moment: 0.0 μB per cell

Structure (CIF):
```
data_TaNbBi2
_chemical_formula_sum 'Ta4 Nb4 Bi8'
_cell_length_a 6.9471
_cell_length_b 6.9471
_cell_length_c 6.9471
_cell_angle_alpha 90.00
_cell_angle_beta 90.00
_cell_angle_gamma 90.00
_symmetry_space_group_name_H-M 'F m -3 m'
_symmetry_Int_Tables_number 225
_symmetry_space_group_name_Hall '-F 4 2 3'
loop_
_atom_site_label
_atom_site_type_symbol
_atom_site_fract_x
_atom_site_fract_y
_atom_site_fract_z
_atom_site_occupancy
Ta1 Ta 0.0000 0.0000 0.0000 1
Nb1 Nb 0.0000 0.0000 0.5000 1
Bi1 Bi 0.2500 0.2500 0.2500 1
```



No. 11
# Nb2TcBiW

A PBEsol-optimized structure of Nb2TcBiW (SCAN, Alexandria via LeMat-Bulk).

E_form: 1259 meV/atom
total magnetic moment: 0.0 μB per cell

Structure (CIF):
```
data_Nb2TcBiW
_chemical_formula_sum 'Nb2 Tc1 Bi1 W1'
_cell_length_a 4.8924
_cell_length_b 4.8924
_cell_length_c 4.6752
_cell_angle_alpha 90.00
_cell_angle_beta 90.00
_cell_angle_gamma 90.00
_symmetry_space_group_name_H-M 'P 4/m m m'
_symmetry_Int_Tables_number 123
_symmetry_space_group_name_Hall '-P 4 2'
loop_
_atom_site_label
_atom_site_type_symbol
_atom_site_fract_x
_atom_site_fract_y
_atom_site_fract_z
_atom_site_occupancy
Nb1 Nb 0.0000 0.5000 0.0000 1
Tc1 Tc 0.0000 0.0000 0.5000 1
Bi1 Bi 0.5000 0.5000 0.5000 1
W1 W 0.0000 0.0000 0.0000 1
```



No. 12
# Nb3BiTe

A PBEsol-optimized structure of Nb3BiTe (SCAN, Alexandria via LeMat-Bulk).

raw total energy: -41.83 eV per atom
total magnetic moment: 0.0 μB per cell

Structure (CIF):
```
data_Nb3BiTe
_chemical_formula_sum 'Nb3 Bi1 Te1'
_cell_length_a 5.0136
_cell_length_b 5.0136
_cell_length_c 5.0136
_cell_angle_alpha 90.00
_cell_angle_beta 90.00
_cell_angle_gamma 90.00
_symmetry_space_group_name_H-M 'P m -3 m'
_symmetry_Int_Tables_number 221
_symmetry_space_group_name_Hall '-P 4 2 3'
loop_
_atom_site_label
_atom_site_type_symbol
_atom_site_fract_x
_atom_site_fract_y
_atom_site_fract_z
_atom_site_occupancy
Nb1 Nb 0.0000 0.0000 0.5000 1
Bi1 Bi 0.5000 0.5000 0.5000 1
Te1 Te 0.0000 0.0000 0.0000 1
```